A plane-wave DFT calculation with GGA-PBE was carried out for crystalline NbIN2O at its relaxed geometry.

Unit cell a=4.184 b=4.184 c=3.964 alpha=90.00 beta=90.00 gamma=90.00
Site moments in Bohr magnetons follow the coordinates.
Positions (direct):
I: 0.000 0.000 0.000  -0.02
Nb: 0.500 0.500 0.500  2.10
O: 0.000 0.000 0.500  0.01
N: 0.000 0.500 0.000  -0.12
N: 0.500 0.000 0.000  -0.12

Computed properties:
* crystal system: tetragonal
* spin magnetization: 2.13 μB per cell
* ΔE_f (raw): 1.501 eV/atom
* energy: -5.14 eV/atom